# Ni3PdPt3 (PBE, relaxed)
# Excess energy over the best structure of this formula in the dataset = 151 meV per atom
# ΔE_f = 0.1115 eV/atom
data_Ni3PdPt3
_symmetry_space_group_name_H-M 'R -3 m'
_symmetry_Int_Tables_number 166
_symmetry_space_group_name_Hall '-R 3 2"'
_cell_length_a 8.3243
_cell_length_b 8.3243
_cell_length_c 5.0845
_cell_angle_alpha 90.00
_cell_angle_beta 90.00
_cell_angle_gamma 120.00
loop_
_atom_site_label
_atom_site_fract_x
_atom_site_fract_y
_atom_site_fract_z
_atom_site_occupancy
Ni1 0.0000 0.5000 0.0000 1
Pd1 0.0000 0.0000 0.5000 1
Pt1 0.0000 0.5000 0.5000 1



# Ni2Pd3Pt2 (PBE, relaxed)
# Excess energy over the best structure of this formula in the dataset = 0 meV per atom
# ΔE_f = -0.0173 eV/atom
data_Ni2Pd3Pt2
_symmetry_space_group_name_H-M 'C 1 2/m 1'
_symmetry_Int_Tables_number 12
_cell_length_a 8.541
_cell_length_b 3.882
_cell_length_c 6.145
_cell_angle_alpha 90.00
_cell_angle_beta 99.19
_cell_angle_gamma 90.00
loop_
_symmetry_equiv_pos_as_xyz
'x,y,z'
'-x,-y,-z'
'-x,y,-z'
'x,-y,z'
'x+1/2,y+1/2,z'
'-x+1/2,-y+1/2,-z'
'-x+1/2,y+1/2,-z'
'x+1/2,-y+1/2,z'
loop_
_atom_site_label
_atom_site_fract_x
_atom_site_fract_y
_atom_site_fract_z
_atom_site_occupancy
Ni1 0.216 0.000 0.139 1
Pd1 0.000 0.500 0.000 1
Pd2 0.144 0.500 0.430 1
Pt1 0.077 0.000 0.728 1



# Ni3Pd2Pt8 (PBE, relaxed)
# Excess energy over the best structure of this formula in the dataset = 55 meV per atom
# ΔE_f = 0.1486 eV/atom
data_Ni3Pd2Pt8
_symmetry_space_group_name_H-M 'C 1 2/m 1'
_symmetry_Int_Tables_number 12
_cell_length_a 13.047
_cell_length_b 6.812
_cell_length_c 4.585
_cell_angle_alpha 90.00
_cell_angle_beta 90.53
_cell_angle_gamma 90.00
loop_
_symmetry_equiv_pos_as_xyz
'x,y,z'
'-x,-y,-z'
'-x,y,-z'
'x,-y,z'
'x+1/2,y+1/2,z'
'-x+1/2,-y+1/2,-z'
'-x+1/2,y+1/2,-z'
'x+1/2,-y+1/2,z'
loop_
_atom_site_label
_atom_site_fract_x
_atom_site_fract_y
_atom_site_fract_z
_atom_site_occupancy
Ni1 0.000 0.000 0.000 1
Ni2 0.000 0.176 0.500 1
Pd1 0.158 0.500 0.272 1
Pt1 0.046 0.500 0.759 1
Pt2 0.169 0.205 0.814 1
Pt3 0.171 0.000 0.315 1



# Ni2PdPt8 (PBE, relaxed)
# Excess energy over the best structure of this formula in the dataset = 113 meV per atom
# ΔE_f = 0.0600 eV/atom
data_Ni2PdPt8
_symmetry_space_group_name_H-M 'C 1 2/m 1'
_symmetry_Int_Tables_number 12
_cell_length_a 7.869
_cell_length_b 10.254
_cell_length_c 4.557
_cell_angle_alpha 90.00
_cell_angle_beta 113.15
_cell_angle_gamma 90.00
loop_
_symmetry_equiv_pos_as_xyz
'x,y,z'
'-x,-y,-z'
'-x,y,-z'
'x,-y,z'
'x+1/2,y+1/2,z'
'-x+1/2,-y+1/2,-z'
'-x+1/2,y+1/2,-z'
'x+1/2,-y+1/2,z'
loop_
_atom_site_label
_atom_site_fract_x
_atom_site_fract_y
_atom_site_fract_z
_atom_site_occupancy
Ni1 0.000 0.133 0.000 1
Pd1 0.000 0.000 0.500 1
Pt1 0.000 0.271 0.500 1
Pt2 0.188 0.357 0.133 1
Pt3 0.197 0.500 0.643 1



# Ni5Pd4Pt (PBE, relaxed)
# ΔE_f = 0.0547 eV/atom
data_Ni5Pd4Pt
_symmetry_space_group_name_H-M 'P 4/m m m'
_symmetry_Int_Tables_number 123
_symmetry_space_group_name_Hall '-P 4 2'
_cell_length_a 2.989
_cell_length_b 2.989
_cell_length_c 14.939
_cell_angle_alpha 90.00
_cell_angle_beta 90.00
_cell_angle_gamma 90.00
loop_
_atom_site_label
_atom_site_fract_x
_atom_site_fract_y
_atom_site_fract_z
_atom_site_occupancy
Ni1 0.000 0.000 0.000 1
Ni2 0.000 0.000 0.200 1
Ni3 0.000 0.000 0.401 1
Pd1 0.500 0.500 0.100 1
Pd2 0.500 0.500 0.300 1
Pt1 0.500 0.500 0.500 1



# Ni2PdPt (PBE, relaxed)
# ΔE_f = 0.0252 eV/atom
data_Ni2PdPt
_symmetry_space_group_name_H-M 'R 3 m'
_symmetry_Int_Tables_number 160
_symmetry_space_group_name_Hall 'R 3 -2"'
_cell_length_a 2.7155
_cell_length_b 2.7155
_cell_length_c 25.4818
_cell_angle_alpha 90.00
_cell_angle_beta 90.00
_cell_angle_gamma 120.00
loop_
_atom_site_label
_atom_site_fract_x
_atom_site_fract_y
_atom_site_fract_z
_atom_site_occupancy
Ni1 0.0000 0.0000 0.0000 1
Ni2 0.0000 0.0000 0.1668 1
Pd1 0.0000 0.0000 0.7504 1
Pt1 0.0000 0.0000 0.5832 1